Nb2TcW: optimized geometry, PBE.

Cell: 3.2156 3.2156 6.4569 Å, 90.00 90.00 90.00°
Closest atoms and distances in Å follow each position.
Element x y z (fractional)
Nb  0.0000  0.0000  0.7525  4 Tc 2.78, 4 W 2.80
W  0.5000  0.5000  0.5000  8 Nb 2.80
Nb  0.0000  0.0000  0.2475  4 Tc 2.78, 4 W 2.80
Tc  0.5000  0.5000  0.0000  8 Nb 2.78

Crystal system: tetragonal
Density of states at the Fermi level in states/eV/f.u.: 2.96
E_form in eV per atom: -0.20

Ce2CoRh: optimized geometry, PBE.

Cell: 4.3642 7.2597 10.5500 Å, 90.00 90.00 90.00°
Closest atoms and distances in Å follow each position.
Element x y z (fractional)
Rh  0.7500  0.1758  0.5908  1 Co 2.77, 6 Ce 2.86-3.05, 2 Rh 3.10
Ce  0.7500  0.5460  0.4958  1 Co 2.54
Co  0.7500  0.8274  0.3530  4 Ce 2.54-2.82, 1 Rh 2.77
Ce  0.7500  0.8452  0.7686  3 Co 2.54-2.82
Ce  0.7500  0.4540  0.9958  1 Co 2.54
Rh  0.2500  0.6758  0.9092  1 Co 2.77, 6 Ce 2.86-3.05, 2 Rh 3.10
Ce  0.2500  0.0460  0.0042  1 Co 2.54
Rh  0.7500  0.8242  0.0908  1 Co 2.77, 6 Ce 2.86-3.05, 2 Rh 3.10
Ce  0.2500  0.3452  0.7314  3 Co 2.54-2.82
Co  0.7500  0.1726  0.8530  4 Ce 2.54-2.82, 1 Rh 2.77
Ce  0.2500  0.6548  0.2314  3 Co 2.54-2.82
Co  0.2500  0.6726  0.6470  4 Ce 2.54-2.82, 1 Rh 2.77
Co  0.2500  0.3274  0.1470  4 Ce 2.54-2.82, 1 Rh 2.77
Ce  0.7500  0.1548  0.2686  3 Co 2.54-2.82
Ce  0.2500  0.9540  0.5042  1 Co 2.54
Rh  0.2500  0.3242  0.4092  1 Co 2.77, 6 Ce 2.86-3.05, 2 Rh 3.10

Crystal system: orthorhombic
Density of states at the Fermi level in states/eV/f.u.: 6.15
E_form in eV per atom: -0.43